Here is crystalline LaTe2Ru at its relaxed geometry from the Alexandria database. Energies are from GGA-PBE.

Cell lengths 12.084, 4.250, 4.895 Å; angles 90.00, 110.45, 90.00 degrees
Space group Cm (No. 8)
Asymmetric unit:
1 La 0.000 0.000 0.000
2 Te 0.211 0.000 0.668
3 Te 0.433 0.000 0.422
4 Ru 0.321 0.500 0.538

Output
- Fermi-level density of states (states/eV/cell) = 8.35
- total moment (Bohr magnetons per cell) = 0.0
- E above lowest polymorph (kcal/mol of atoms) = 0.808
- formation energy without anion corrections (eV/atom) = -0.61



Here is crystalline La12Te3Ru5 at its relaxed geometry from the Alexandria database. Energies are from GGA-PBE.

Cell lengths 17.571, 17.571, 17.571 Å; angles 90.00, 90.00, 90.00 degrees
Space group Ia-3d (No. 230)
Asymmetric unit:
1 La 0.030 0.054 0.648
2 Te 0.000 0.250 0.125
3 Ru 0.000 0.000 0.000
4 Ru 0.000 0.250 0.375

Output
- Fermi-level density of states (states/eV/cell) = 141.31
- total moment (Bohr magnetons per cell) = 0.0
- formation energy without anion corrections (eV/atom) = -0.46



Here is crystalline LaTe2Ru2 at its relaxed geometry from the Alexandria database. Energies are from GGA-PBE.

Cell lengths 8.149, 8.149, 3.234 Å; angles 90.00, 90.00, 90.00 degrees
Space group P4/mbm (No. 127)
Asymmetric unit:
1 La 0.000 0.000 0.000
2 Te 0.147 0.353 0.000
3 Ru 0.127 0.627 0.500

Output
- Fermi-level density of states (states/eV/cell) = 10.90
- total moment (Bohr magnetons per cell) = 1.1
- E above lowest polymorph (kcal/mol of atoms) = 10.248
- formation energy without anion corrections (eV/atom) = -0.02



Please write out number 1 again, unchanged.
Here is crystalline LaTe2Ru at its relaxed geometry from the Alexandria database. Energies are from GGA-PBE.

Cell lengths 12.084, 4.250, 4.895 Å; angles 90.00, 110.45, 90.00 degrees
Space group Cm (No. 8)
Asymmetric unit:
1 La 0.000 0.000 0.000
2 Te 0.211 0.000 0.668
3 Te 0.433 0.000 0.422
4 Ru 0.321 0.500 0.538

Output
- Fermi-level density of states (states/eV/cell) = 8.35
- total moment (Bohr magnetons per cell) = 0.0
- E above lowest polymorph (kcal/mol of atoms) = 0.808
- formation energy without anion corrections (eV/atom) = -0.61



total moment of number 3 (LaTe2Ru2)?
1.1 Bohr magnetons per cell